# Ac4HgOsBr2, optimized geometry, DFT PBE
data_Ac4HgOsBr2
_chemical_formula_sum 'Ac4 Hg1 Os1 Br2'
_symmetry_space_group_name_H-M 'P 1 2/m 1'
_symmetry_Int_Tables_number 10
_cell_length_a 8.0616
_cell_length_b 4.4001
_cell_length_c 8.7210
_cell_angle_alpha 90.00
_cell_angle_beta 108.47
_cell_angle_gamma 90.00
loop_
_symmetry_equiv_pos_as_xyz
'x,y,z'
'-x,-y,-z'
'-x,y,-z'
'x,-y,z'
loop_
_atom_site_label
_atom_site_type_symbol
_atom_site_fract_x
_atom_site_fract_y
_atom_site_fract_z
Ac1 Ac 0.2197 0.0000 0.2939
Ac2 Ac 0.2209 0.5000 0.6961
Hg1 Hg 0.5000 0.5000 0.5000
Os1 Os 0.0000 0.0000 0.5000
Br1 Br 0.0000 0.5000 0.0000
Br2 Br 0.5000 0.0000 0.0000
# Theoretical density, g/cm3: 8.255



# Ac8HgOs3Br4, optimized geometry, DFT PBE
data_Ac8HgOs3Br4
_chemical_formula_sum 'Ac24 Hg3 Os9 Br12'
_symmetry_space_group_name_H-M 'R -3 m'
_symmetry_Int_Tables_number 166
_symmetry_space_group_name_Hall '-R 3 2"'
_cell_length_a 8.8707
_cell_length_b 8.8707
_cell_length_c 24.6096
_cell_angle_alpha 90.00
_cell_angle_beta 90.00
_cell_angle_gamma 120.00
loop_
_atom_site_label
_atom_site_type_symbol
_atom_site_fract_x
_atom_site_fract_y
_atom_site_fract_z
Ac1 Ac 0.0000 0.0000 0.2327
Ac2 Ac 0.0235 0.5117 0.7681
Hg1 Hg 0.0000 0.0000 0.5000
Os1 Os 0.0000 0.5000 0.5000
Br1 Br 0.0000 0.0000 0.0000
Br2 Br 0.0000 0.5000 0.0000
# Theoretical density, g/cm3: 8.635



# AcPmHgBr, optimized geometry, DFT PBE
data_AcPmHgBr
_chemical_formula_sum 'Ac4 Pm4 Hg4 Br4'
_symmetry_space_group_name_H-M 'F -4 3 m'
_symmetry_Int_Tables_number 216
_symmetry_space_group_name_Hall 'F -4 2 3'
_cell_length_a 7.8633
_cell_length_b 7.8633
_cell_length_c 7.8633
_cell_angle_alpha 90.00
_cell_angle_beta 90.00
_cell_angle_gamma 90.00
loop_
_atom_site_label
_atom_site_type_symbol
_atom_site_fract_x
_atom_site_fract_y
_atom_site_fract_z
Ac1 Ac 0.0000 0.0000 0.0000
Pm1 Pm 0.0000 0.0000 0.5000
Hg1 Hg 0.2500 0.2500 0.2500
Br1 Br 0.2500 0.2500 0.7500
# Theoretical density, g/cm3: 8.914



# AcPrHgBr, optimized geometry, DFT PBE
data_AcPrHgBr
_chemical_formula_sum 'Ac4 Pr4 Hg4 Br4'
_symmetry_space_group_name_H-M 'F -4 3 m'
_symmetry_Int_Tables_number 216
_symmetry_space_group_name_Hall 'F -4 2 3'
_cell_length_a 7.9059
_cell_length_b 7.9059
_cell_length_c 7.9059
_cell_angle_alpha 90.00
_cell_angle_beta 90.00
_cell_angle_gamma 90.00
loop_
_atom_site_label
_atom_site_type_symbol
_atom_site_fract_x
_atom_site_fract_y
_atom_site_fract_z
Ac1 Ac 0.0000 0.0000 0.0000
Pr1 Pr 0.0000 0.0000 0.5000
Hg1 Hg 0.2500 0.2500 0.2500
Br1 Br 0.2500 0.2500 0.7500
# Theoretical density, g/cm3: 8.716



Uncorrected formation energy values (in eV per atom) by entry order: -0.815 -0.783 -0.646 -0.662.
DFT total energy values (in eV per atom) by entry order: -4.73 -5.38 -3.35 -3.38.